VASP calculation (GGA-PBE) on a geometry-optimized Nb2TlMoAu structure.

Cell lengths 4.999, 4.999, 4.939 Å; angles 90.00, 90.00, 90.00 degrees
Fractional coordinates of all 5 atoms:
Nb1 0.000 0.500 0.000
Nb2 0.500 0.000 0.000
Tl1 0.000 0.000 0.500
Mo1 0.500 0.500 0.500
Au1 0.000 0.000 0.000

Values from the calculation:
Space group: P4/mmm
Uncorrected energy, eV/atom: -5.408
Energy of formation from the pure elements, kJ per mole of atoms: 185
Crystal system: tetragonal